Entry from the Alexandria database: a relaxed Tb4Pr5Ho4 crystal (GGA-PBE).

abc: 5.089 9.564 9.564
angles: 85.94 74.57 74.57
Fractional coordinates of all 13 atoms:
Pr 0.696 0.842 0.766
Ho 0.075 0.538 0.311
Ho 0.614 0.311 0.462
Pr 0.462 0.234 0.842
Pr 0.000 0.000 0.000
Tb 0.155 0.078 0.612
Ho 0.925 0.462 0.689
Pr 0.304 0.158 0.234
Tb 0.845 0.922 0.388
Ho 0.386 0.689 0.538
Pr 0.538 0.766 0.158
Tb 0.767 0.388 0.078
Tb 0.233 0.612 0.922

Output
- size of the total moment (μB/atom) = 0.00
- DFT formation energy (eV/atom) = 0.020
- space-group type = I4/m (87)
- total DFT energy (no corrections) (Ry/atom) = -0.342